## GdReTcW (PBE)

Data for a relaxed GdReTcW crystal.

Calculated values
VASP energy   -12.2604 eV per atom
Magnetic moment   7.0 μB per cell
SG   F-43m

Cell lengths 4.611, 4.611, 4.611 Å; angles 60.00, 60.00, 60.00 degrees
Positions (direct):
Tc: 0.000 0.000 0.000
W: 0.750 0.750 0.750
Re: 0.500 0.500 0.500
Gd: 0.250 0.250 0.250